Ba6CuP2I3 | GGA-PBE | relaxed

Unit cell a=8.2716 b=14.3150 c=8.8656 alpha=90.00 beta=108.24 gamma=90.00
With the nearest neighbours (Å) after each atom.
Space group C2/m (No. 12)
Inequivalent atoms, fractional coordinates:
Ba1 0.2227 0.0000 0.2040 (multiplicity 4)  2 P 3.21, 1 Cu 3.34
Ba2 0.2402 0.3276 0.2038 (multiplicity 8)  2 P 3.21, 1 Cu 3.32
Cu1 0.0000 0.5000 0.0000 (multiplicity 2)  6 Ba 3.32-3.34
P1 0.0000 0.1667 0.0000 (multiplicity 4)  6 Ba 3.21
I1 0.0000 0.0000 0.5000 (multiplicity 2)  6 Ba 3.65-3.75
I2 0.0000 0.3337 0.5000 (multiplicity 4)  6 Ba 3.65-3.76

Computed properties:
N(E_F) (states/eV/cell): 14.77
Formation energy without anion corrections (eV per atom): -1.132